Entry 1:
Compound: Cs2ScSn2Se6
Source: Alexandria
Functional: GGA-PBE
Structure: optimized geometry

Results
V (Å³ per atom): 36.1
DOS at the Fermi energy (states/eV/cell): 5.7
Formation energy without anion corrections (eV per atom): -0.82

Structure (POSCAR):
```
Cs2ScSn2Se6
1.0
6.2736 -3.8898 0.0000
6.2736 3.8898 0.0000
-2.5593 0.0000 8.1410
Cs Sc Sn Se
2 1 2 6
Cartesian
2.2066 0.0000 1.2424
7.7812 0.0000 6.8985
-1.2797 0.0000 4.0705
3.8786 0.0000 5.0813
6.1092 0.0000 3.0596
5.2679 2.1726 1.9776
1.3405 0.0000 5.1106
4.7200 2.1726 6.1634
5.2679 -2.1726 1.9776
8.6474 0.0000 3.0304
4.7200 -2.1726 6.1634
```



Entry 2:
Compound: Cs3Sc3SnSe8
Source: Alexandria
Functional: GGA-PBE
Structure: optimized geometry

Results
V (Å³ per atom): 31.5
DOS at the Fermi energy (states/eV/cell): 2.2
Formation energy without anion corrections (eV per atom): -1.35

Structure (POSCAR):
```
Cs3Sc3SnSe8
1.0
6.9377 -4.0034 0.0000
6.9377 4.0034 0.0000
-4.6332 0.0000 8.4960
Cs Sc Sn Se
3 3 1 8
Cartesian
0.0000 0.0000 0.0000
3.4688 2.0017 0.0000
3.4688 -2.0017 0.0000
1.1522 2.0017 4.2480
1.1522 -2.0017 4.2480
4.6210 0.0000 4.2480
-2.3166 0.0000 4.2480
0.0228 0.0000 5.7572
3.4514 1.9785 5.7565
2.3083 0.0000 2.7534
5.7907 1.9785 2.7394
3.4514 -1.9785 5.7565
6.9338 0.0000 5.7425
5.7907 -1.9785 2.7394
9.2193 0.0000 2.7388
```



Entry 3:
Compound: CsScSn2Se
Source: Alexandria
Functional: GGA-PBE
Structure: optimized geometry

Results
V (Å³ per atom): 41.6
DOS at the Fermi energy (states/eV/cell): 5.9
Formation energy without anion corrections (eV per atom): 1.25

Structure (POSCAR):
```
CsScSn2Se
1.0
5.9513 0.0000 0.0000
0.0000 5.9513 0.0000
0.0000 0.0000 5.8776
Cs Sc Sn Se
1 1 2 1
Cartesian
0.0000 0.0000 0.0000
2.9756 2.9756 2.9388
0.0000 2.9756 0.0000
2.9756 0.0000 0.0000
0.0000 0.0000 2.9388
```



Entry 4:
Compound: Cs2ScSnSe
Source: Alexandria
Functional: GGA-PBE
Structure: optimized geometry

Results
V (Å³ per atom): 52.0
DOS at the Fermi energy (states/eV/cell): 8.7
Formation energy without anion corrections (eV per atom): 0.34

Structure (POSCAR):
```
Cs2ScSnSe
1.0
6.9484 0.0000 0.0000
0.0000 6.9484 0.0000
0.0000 0.0000 5.3824
Cs Sc Sn Se
2 1 1 1
Cartesian
0.0000 3.4742 0.0000
3.4742 0.0000 0.0000
0.0000 0.0000 0.0000
0.0000 0.0000 2.6912
3.4742 3.4742 2.6912
```



Entry 5:
Compound: CsScSnSe4
Source: Alexandria
Functional: GGA-PBE
Structure: optimized geometry

Results
V (Å³ per atom): 33.5
Formation energy without anion corrections (eV per atom): -1.04

Structure (POSCAR):
```
CsScSnSe4
1.0
6.9379 0.0000 0.0000
0.0000 7.3125 0.0000
-0.6874 0.0000 9.2554
Cs Sc Sn Se
2 2 2 8
Cartesian
1.5319 1.8281 0.5640
4.7185 5.4844 8.6915
0.8381 5.4844 4.2170
5.4123 1.8281 5.0385
1.9538 1.8281 5.9618
4.2966 5.4844 3.2936
0.1594 3.6771 6.3091
0.1594 7.2916 6.3091
2.2637 5.4844 1.7862
3.0591 1.8281 3.7199
3.1913 5.4844 5.5356
3.9867 1.8281 7.4692
6.0910 0.0209 2.9464
6.0910 3.6354 2.9464
```



Entry 6:
Compound: Cs4Tb3ScSe8
Source: Alexandria
Functional: GGA-PBE
Structure: optimized geometry

Results
V (Å³ per atom): 32.4
DOS at the Fermi energy (states/eV/cell): 0.0
Formation energy without anion corrections (eV per atom): -1.68

Structure (POSCAR):
```
Cs4Tb3ScSe8
1.0
4.2334 2.4442 8.3593
-4.2334 2.4442 8.3593
0.0000 -4.8883 8.3593
Cs Tb Sc Se
4 3 1 8
Cartesian
0.0000 0.0000 0.0000
-2.1167 -1.2221 8.3593
-2.1167 1.2221 16.7187
0.0000 2.4442 8.3593
-4.2334 0.0000 12.5390
-2.1167 1.2221 4.1797
2.1167 1.2221 4.1797
0.0000 0.0000 12.5390
0.0000 0.0000 5.7476
-2.0457 -1.1811 14.0637
0.0000 -2.3621 11.0143
-2.0456 1.1811 11.0143
2.0457 -1.1811 14.0637
0.0000 2.3621 14.0637
2.0456 1.1811 11.0143
0.0000 0.0000 19.3305
```



Entry 7:
Compound: Cs2ScTe2Se6
Source: Alexandria
Functional: GGA-PBE
Structure: optimized geometry

Results
V (Å³ per atom): 37.2
DOS at the Fermi energy (states/eV/cell): 2.1
Formation energy without anion corrections (eV per atom): -0.66

Structure (POSCAR):
```
Cs2ScTe2Se6
1.0
6.8069 -3.8590 0.0000
6.8069 3.8590 0.0000
-3.5591 0.0000 7.7821
Cs Sc Te Se
2 1 2 6
Cartesian
2.2059 0.0000 1.5369
7.8488 0.0000 6.2451
-1.7795 0.0000 3.8910
3.0608 0.0000 6.1053
6.9940 0.0000 1.6767
5.4109 2.0682 1.8899
0.4780 0.0000 5.3794
4.6439 2.0682 5.8922
5.4109 -2.0682 1.8899
9.5768 0.0000 2.4026
4.6439 -2.0682 5.8922
```



Entry 8:
Compound: Cs4Th3ScSe8
Source: Alexandria
Functional: GGA-PBE
Structure: optimized geometry

Results
V (Å³ per atom): 33.2
DOS at the Fermi energy (states/eV/cell): 10.0
Formation energy without anion corrections (eV per atom): -1.53

Structure (POSCAR):
```
Cs4Th3ScSe8
1.0
4.2484 2.4528 8.4955
-4.2484 2.4528 8.4955
0.0000 -4.9057 8.4955
Cs Th Sc Se
4 3 1 8
Cartesian
0.0000 0.0000 0.0000
-2.1242 -1.2264 8.4955
-2.1242 1.2264 16.9909
0.0000 2.4528 8.4954
-4.2484 0.0000 12.7432
-2.1242 1.2264 4.2477
2.1242 1.2264 4.2477
0.0000 0.0000 12.7432
0.0000 0.0000 5.9425
-2.0363 -1.1757 14.3415
0.0000 -2.3514 11.1448
-2.0364 1.1757 11.1448
2.0364 -1.1757 14.3416
0.0000 2.3514 14.3416
2.0364 1.1757 11.1448
0.0000 0.0000 19.5439
```



Entry 9:
Compound: CsThScSe4
Source: Alexandria
Functional: GGA-PBE
Structure: optimized geometry

Results
V (Å³ per atom): 35.6
DOS at the Fermi energy (states/eV/cell): 0.0
Formation energy without anion corrections (eV per atom): -1.59

Structure (POSCAR):
```
CsThScSe4
1.0
7.2881 0.0000 0.0000
0.0000 7.3076 0.0000
-1.8704 0.0000 9.3679
Cs Th Sc Se
2 2 2 8
Cartesian
1.1562 1.8269 0.6489
4.2616 5.4807 8.7190
0.3988 5.4807 4.2613
5.0189 1.8269 5.1066
1.4486 1.8269 6.2687
3.9692 5.4807 3.0992
-0.3784 3.6702 6.4849
-0.3784 7.2912 6.4849
1.8396 5.4807 1.7173
2.3388 1.8269 3.9321
3.0790 5.4807 5.4358
3.5782 1.8269 7.6506
5.7962 0.0164 2.8830
5.7962 3.6374 2.8830
```



Entry 10:
Compound: Cs2Sc2TiSe6
Source: Alexandria
Functional: GGA-PBE
Structure: optimized geometry

Results
V (Å³ per atom): 30.3
Formation energy without anion corrections (eV per atom): -1.47

Structure (POSCAR):
```
Cs2Sc2TiSe6
1.0
3.3656 -5.8149 0.0000
3.3656 5.8149 0.0000
-2.3420 0.0000 8.5248
Cs Sc Ti Se
2 2 1 6
Cartesian
3.3656 3.8480 0.0000
3.3656 -3.8480 0.0000
2.1946 1.9505 4.2624
2.1946 -1.9505 4.2624
-1.1710 0.0000 4.2624
-0.0861 1.8444 5.7532
0.9928 0.0000 2.7843
-0.0861 -1.8444 5.7532
4.4753 1.8444 2.7715
3.3964 0.0000 5.7405
4.4753 -1.8444 2.7715
```



Entry 11:
Compound: Cs2ScTlSe4
Source: Alexandria
Functional: GGA-PBE
Structure: optimized geometry

Results
V (Å³ per atom): 40.1
DOS at the Fermi energy (states/eV/cell): 0.0
Formation energy without anion corrections (eV per atom): -1.10

Structure (POSCAR):
```
Cs2ScTlSe4
1.0
0.0000 7.5797 13.0503
3.2398 0.0000 13.0503
3.2398 7.5797 0.0000
Cs Sc Tl Se
4 2 2 8
Cartesian
2.4299 5.6848 1.4338
4.0498 9.4747 7.9589
2.4299 5.6848 18.1418
4.0498 9.4747 24.6669
0.8100 1.8949 3.2626
5.6697 13.2645 22.8381
2.4299 5.6848 9.7878
4.0498 9.4747 16.3129
2.3404 3.4177 4.6814
4.1393 7.2075 11.2065
2.5193 7.9519 4.6814
2.5193 3.4177 14.8941
3.9604 11.7418 11.2065
3.9604 7.2075 21.4193
2.3404 7.9519 14.8941
4.1393 11.7418 21.4193
```



Entry 12:
Compound: Cs3Tm2ScSe6
Source: Alexandria
Functional: GGA-PBE
Structure: optimized geometry

Results
V (Å³ per atom): 31.4
DOS at the Fermi energy (states/eV/cell): 0.0
Formation energy without anion corrections (eV per atom): -1.66

Structure (POSCAR):
```
Cs3Tm2ScSe6
1.0
3.6118 -6.2551 0.0000
3.6118 6.2551 0.0000
-2.4090 0.0000 8.3323
Cs Tm Sc Se
3 2 1 6
Cartesian
0.0000 0.0000 0.0000
3.6118 2.1088 0.0000
3.6118 -2.1088 0.0000
2.4073 4.1720 4.1662
2.4073 -4.1720 4.1662
2.4073 0.0000 4.1662
1.2342 2.0318 2.6592
0.0601 0.0000 5.6804
1.2342 -2.0318 2.6592
3.5805 2.0318 5.6731
4.7546 0.0000 2.6519
3.5805 -2.0318 5.6731
```



Entry 13:
Compound: Cs3TmSc2Se6
Source: Alexandria
Functional: GGA-PBE
Structure: optimized geometry

Results
V (Å³ per atom): 30.5
DOS at the Fermi energy (states/eV/cell): 0.0
Formation energy without anion corrections (eV per atom): -1.61

Structure (POSCAR):
```
Cs3TmSc2Se6
1.0
3.5698 -6.1827 0.0000
3.5698 6.1827 0.0000
-2.3817 0.0000 8.3039
Cs Tm Sc Se
3 1 2 6
Cartesian
0.0000 0.0000 0.0000
3.5698 2.0390 0.0000
3.5698 -2.0390 0.0000
2.3789 0.0000 4.1520
2.3789 4.1207 4.1520
2.3789 -4.1207 4.1520
1.1585 2.1146 2.6629
-0.0629 0.0000 5.6346
1.1585 -2.1146 2.6629
3.5994 2.1146 5.6410
4.8207 0.0000 2.6693
3.5994 -2.1146 5.6410
```



Entry 14:
Compound: CsTmScSe3
Source: Alexandria
Functional: GGA-PBE
Structure: optimized geometry

Results
V (Å³ per atom): 33.9
DOS at the Fermi energy (states/eV/cell): 5.8
Formation energy without anion corrections (eV per atom): -1.58

Structure (POSCAR):
```
CsTmScSe3
1.0
9.5788 0.0000 0.0000
0.0000 4.3471 0.0000
-3.9116 0.0000 9.7817
Cs Tm Sc Se
2 2 2 6
Cartesian
1.1960 1.0868 2.3420
4.4712 3.2603 7.4397
-0.1708 3.2603 8.5057
5.8380 1.0868 1.2760
-1.5484 1.0868 5.9804
7.2155 3.2603 3.8012
-2.1357 1.0868 8.4891
-0.2076 3.2603 5.4620
3.9902 3.2603 1.4878
1.6769 1.0868 8.2939
5.8747 1.0868 4.3197
7.8028 3.2603 1.2926
```



Entry 15:
Compound: Cs2ScU2Se6
Source: Alexandria
Functional: GGA-PBE
Structure: optimized geometry

Results
V (Å³ per atom): 34.5
DOS at the Fermi energy (states/eV/cell): 11.4
Formation energy without anion corrections (eV per atom): -1.38

Structure (POSCAR):
```
Cs2ScU2Se6
1.0
3.5750 -6.1632 0.0000
3.5750 6.1632 0.0000
-2.3951 0.0000 8.6010
Cs Sc U Se
2 1 2 6
Cartesian
3.5750 4.0944 0.0000
3.5750 -4.0944 0.0000
-1.1976 0.0000 4.3005
2.3774 2.0539 4.3005
2.3774 -2.0539 4.3005
-0.0378 1.9853 5.8544
1.1028 0.0000 2.7533
-0.0378 -1.9853 5.8544
4.7927 1.9853 2.7465
3.6521 0.0000 5.8477
4.7927 -1.9853 2.7465
```



Entry 16:
Compound: Cs2ScUSe6
Source: Alexandria
Functional: GGA-PBE
Structure: optimized geometry

Results
V (Å³ per atom): 31.4
DOS at the Fermi energy (states/eV/cell): 11.3
Formation energy without anion corrections (eV per atom): -1.21

Structure (POSCAR):
```
Cs2ScUSe6
1.0
7.6308 0.0000 0.0000
0.0000 10.7928 0.0000
0.0000 0.0000 7.6299
Cs Sc U Se
4 2 2 12
Cartesian
1.9077 0.0016 1.9081
1.9077 5.3948 1.9081
5.7231 10.7911 5.7218
5.7231 5.3980 5.7218
1.9077 2.6982 5.7195
5.7231 8.0946 1.9105
1.9077 8.0946 5.7254
5.7231 2.6982 1.9046
0.0065 8.0946 7.6277
0.0059 8.0946 3.8238
1.9077 5.4060 5.7234
1.9077 10.7831 5.7234
3.8089 8.0946 7.6277
3.8095 8.0946 3.8238
3.8219 2.6982 0.0022
3.8213 2.6982 3.8062
5.7231 0.0096 1.9066
5.7231 5.3868 1.9066
7.6243 2.6982 0.0022
7.6249 2.6982 3.8062
```



Entry 17:
Compound: Cs2Sc2USe6
Source: Alexandria
Functional: GGA-PBE
Structure: optimized geometry

Results
V (Å³ per atom): 33.0
DOS at the Fermi energy (states/eV/cell): 7.4
Formation energy without anion corrections (eV per atom): -1.50

Structure (POSCAR):
```
Cs2Sc2USe6
1.0
3.4893 -6.0765 0.0000
3.4893 6.0765 0.0000
-2.3307 0.0000 8.5574
Cs Sc U Se
2 2 1 6
Cartesian
3.4893 4.0620 0.0000
3.4893 -4.0620 0.0000
2.3240 2.0318 4.2787
2.3240 -2.0318 4.2787
-1.1653 0.0000 4.2787
0.0280 2.0727 5.7957
1.2314 0.0000 2.7605
0.0280 -2.0727 5.7957
4.6200 2.0727 2.7617
3.4165 0.0000 5.7969
4.6200 -2.0727 2.7617
```



Entry 18:
Compound: Cs4ScU3Se8
Source: Alexandria
Functional: GGA-PBE
Structure: optimized geometry

Results
V (Å³ per atom): 32.5
DOS at the Fermi energy (states/eV/cell): 18.0
Formation energy without anion corrections (eV per atom): -1.28

Structure (POSCAR):
```
Cs4ScU3Se8
1.0
4.2199 2.4364 8.4228
-4.2199 2.4364 8.4228
0.0000 -4.8727 8.4228
Cs Sc U Se
4 1 3 8
Cartesian
0.0000 0.0000 0.0000
-2.1099 -1.2182 8.4228
-2.1099 1.2182 16.8455
0.0000 2.4364 8.4228
0.0000 0.0000 12.6341
-4.2199 0.0000 12.6341
-2.1099 1.2182 4.2114
2.1099 1.2182 4.2114
0.0000 0.0000 5.8108
-2.0417 -1.1788 14.1821
0.0000 -2.3575 11.0862
-2.0417 1.1788 11.0862
2.0417 -1.1788 14.1821
0.0000 2.3575 14.1821
2.0417 1.1788 11.0862
0.0000 0.0000 19.4575
```



Entry 19:
Compound: CsScUSe4
Source: Alexandria
Functional: GGA-PBE
Structure: optimized geometry

Results
V (Å³ per atom): 33.8
DOS at the Fermi energy (states/eV/cell): 10.0
Formation energy without anion corrections (eV per atom): -1.26

Structure (POSCAR):
```
CsScUSe4
1.0
-4.3638 4.6750 5.7921
4.3638 -4.6750 5.7921
4.3638 4.6750 -5.7921
Cs Sc U Se
2 2 2 8
Cartesian
0.0000 2.3375 1.7553
4.3638 2.3375 4.0368
2.1819 2.3375 -2.8960
2.1819 -2.3375 2.8960
4.3638 0.0000 0.0000
0.0000 0.0000 5.7921
4.3638 -0.6226 2.7739
4.3638 4.0523 -2.7739
2.6309 2.3375 -0.1535
6.0967 2.3375 -0.1535
-1.7329 2.3375 5.9456
1.7329 2.3375 5.9456
0.0000 0.6226 8.5659
0.0000 5.2976 3.0182
```



Entry 20:
Compound: Cs3ScU3Se8
Source: Alexandria
Functional: GGA-PBE
Structure: optimized geometry

Results
V (Å³ per atom): 34.3
DOS at the Fermi energy (states/eV/cell): 17.1
Formation energy without anion corrections (eV per atom): -1.33

Structure (POSCAR):
```
Cs3ScU3Se8
1.0
4.1614 2.4026 8.5798
-4.1614 2.4026 8.5798
0.0000 -4.8052 8.5798
Cs Sc U Se
3 1 3 8
Cartesian
-2.0807 -1.2013 8.5798
-2.0807 1.2013 17.1597
0.0000 2.4026 8.5798
0.0000 0.0000 12.8698
-4.1614 0.0000 12.8697
-2.0807 1.2013 4.2899
2.0807 1.2013 4.2899
0.0000 0.0000 5.9099
-2.0145 -1.1631 14.4100
0.0000 -2.3262 11.3295
-2.0145 1.1631 11.3295
2.0145 -1.1631 14.4100
0.0000 2.3262 14.4100
2.0145 1.1631 11.3295
0.0000 0.0000 19.8296
```